1.
# Tl4Rh

Tl4Rh after structural relaxation (PBEsol, the Alexandria database).

Energy of formation from the pure elements in meV per atom: 88
Space-group type: I4/mmm (139)

Lattice parameters (Å, degrees): 11.305 11.305 11.305 163.42 163.42 23.53
Positions (direct):
Tl1 0.076 0.076 0.000
Tl2 0.310 0.310 0.000
Tl3 0.690 0.690 0.000
Tl4 0.924 0.924 0.000
Rh1 0.500 0.500 0.000

=====

2.
# ScAl2Cl

ScAl2Cl after structural relaxation (PBEsol, the Alexandria database).

ΔE_f (raw) in kcal/mol of atoms: -5.10
Space-group type: P4/mmm (123)

Lattice parameters (Å, degrees): 3.072 3.072 8.059 90.00 90.00 90.00
Positions (direct):
Sc1 0.000 0.000 0.000
Al1 0.500 0.500 0.243
Al2 0.500 0.500 0.757
Cl1 0.000 0.000 0.500

=====

3.
# Re4Pb4O13

Re4Pb4O13 after structural relaxation (PBEsol, the Alexandria database).

ΔE_f (raw) in kcal/mol of atoms: -30.42
Space-group type: F-43m (216)

Lattice parameters (Å, degrees): 7.359 7.359 7.359 60.00 60.00 60.00
Positions (direct):
Re1 0.125 0.125 0.125
Re2 0.125 0.125 0.625
Re3 0.125 0.625 0.125
Re4 0.625 0.125 0.125
Pb1 0.133 0.622 0.622
Pb2 0.622 0.133 0.622
Pb3 0.622 0.622 0.133
Pb4 0.622 0.622 0.622
O1 0.058 0.058 0.442
O2 0.058 0.442 0.058
O3 0.058 0.442 0.442
O4 0.190 0.190 0.810
O5 0.190 0.810 0.190
O6 0.190 0.810 0.810
O7 0.442 0.058 0.058
O8 0.442 0.058 0.442
O9 0.442 0.442 0.058
O10 0.750 0.750 0.750
O11 0.810 0.190 0.190
O12 0.810 0.190 0.810
O13 0.810 0.810 0.190

=====

4.
# MgBi

MgBi after structural relaxation (PBEsol, the Alexandria database).

Energy of formation from the pure elements in meV per atom: -136
Space-group type: Pmmn (59)

Lattice parameters (Å, degrees): 3.517 5.847 5.168 90.00 90.00 90.00
Positions (direct):
Mg1 0.250 0.250 0.155
Mg2 0.750 0.750 0.845
Bi1 0.250 0.750 0.333
Bi2 0.750 0.250 0.667

=====

5.
# ReSbMo2

ReSbMo2 after structural relaxation (PBEsol, the Alexandria database).

ΔE_f (raw) in kcal/mol of atoms: 8.12
Space-group type: Pmmm (47)

Lattice parameters (Å, degrees): 3.205 4.344 4.636 90.00 90.00 90.00
Positions (direct):
Re1 0.000 0.000 0.000
Sb1 0.500 0.000 0.500
Mo1 0.000 0.500 0.500
Mo2 0.500 0.500 0.000

=====

6.
# P4S3

P4S3 after structural relaxation (PBEsol, the Alexandria database).

ΔE_f (raw) in kcal/mol of atoms: -2.53
Space-group type: Pnma (62)

Lattice parameters (Å, degrees): 10.160 9.418 14.066 90.00 90.00 90.00
Positions (direct):
P1 0.020 0.250 0.008
P2 0.037 0.131 0.746
P3 0.037 0.369 0.746
P4 0.037 0.750 0.467
P5 0.073 0.250 0.239
P6 0.209 0.250 0.686
P7 0.234 0.130 0.165
P8 0.234 0.370 0.165
P9 0.266 0.630 0.665
P10 0.266 0.870 0.665
P11 0.291 0.750 0.186
P12 0.427 0.750 0.739
P13 0.463 0.250 0.967
P14 0.463 0.631 0.246
P15 0.463 0.869 0.246
P16 0.480 0.750 0.508
P17 0.520 0.250 0.492
P18 0.537 0.131 0.754
P19 0.537 0.369 0.754
P20 0.537 0.750 0.033
P21 0.573 0.250 0.261
P22 0.709 0.250 0.814
P23 0.734 0.130 0.335
P24 0.734 0.370 0.335
P25 0.766 0.630 0.835
P26 0.766 0.870 0.835
P27 0.791 0.750 0.314
P28 0.927 0.750 0.761
P29 0.963 0.250 0.533
P30 0.963 0.631 0.254
P31 0.963 0.869 0.254
P32 0.980 0.750 0.992
S1 0.074 0.579 0.373
S2 0.074 0.921 0.373
S3 0.080 0.750 0.860
S4 0.151 0.080 0.034
S5 0.151 0.420 0.034
S6 0.171 0.250 0.540
S7 0.329 0.750 0.040
S8 0.349 0.580 0.534
S9 0.349 0.920 0.534
S10 0.420 0.250 0.360
S11 0.426 0.079 0.873
S12 0.426 0.421 0.873
S13 0.574 0.579 0.127
S14 0.574 0.921 0.127
S15 0.580 0.750 0.640
S16 0.651 0.080 0.466
S17 0.651 0.420 0.466
S18 0.671 0.250 0.960
S19 0.829 0.750 0.460
S20 0.849 0.580 0.966
S21 0.849 0.920 0.966
S22 0.920 0.250 0.140
S23 0.926 0.079 0.627
S24 0.926 0.421 0.627

=====

7.
# Zr2IrW

Zr2IrW after structural relaxation (PBEsol, the Alexandria database).

Energy of formation from the pure elements in meV per atom: -145
Space-group type: P4mm (99)

Lattice parameters (Å, degrees): 2.878 2.878 8.777 90.00 90.00 90.00
Positions (direct):
Zr1 0.000 0.000 0.000
Zr2 0.500 0.500 0.313
Ir1 0.000 0.000 0.549
W1 0.500 0.500 0.745

=====

8.
# CdI2N

CdI2N after structural relaxation (PBEsol, the Alexandria database).

ΔE_f (raw) in kcal/mol of atoms: 18.47
Space-group type: Fd-3m (227)

Lattice parameters (Å, degrees): 7.207 7.207 7.207 60.00 60.00 60.00
Positions (direct):
Cd1 0.125 0.125 0.125
Cd2 0.875 0.875 0.875
I1 0.000 0.500 0.500
I2 0.500 0.000 0.500
I3 0.500 0.500 0.000
I4 0.500 0.500 0.500
N1 0.375 0.375 0.375
N2 0.625 0.625 0.625

=====

9.
# VN

VN after structural relaxation (PBEsol, the Alexandria database).

ΔE_f (raw) in kcal/mol of atoms: -32.41
Space-group type: P-6m2 (187)

Lattice parameters (Å, degrees): 2.712 2.712 2.624 90.00 90.00 120.00
Positions (direct):
V1 0.000 0.000 0.000
N1 0.333 0.667 0.500

=====

10.
# LiAl2Tc

LiAl2Tc after structural relaxation (PBEsol, the Alexandria database).

Energy of formation from the pure elements in meV per atom: -41
Space-group type: Pmm2 (25)

Lattice parameters (Å, degrees): 2.663 4.117 5.223 90.00 90.00 90.00
Positions (direct):
Li1 0.000 0.000 0.000
Al1 0.000 0.000 0.472
Al2 0.500 0.500 0.772
Tc1 0.500 0.500 0.269

=====

11.
# NbCrFe3

NbCrFe3 after structural relaxation (PBEsol, the Alexandria database).

Energy of formation from the pure elements in meV per atom: 1751
Space-group type: Pm-3m (221)

Lattice parameters (Å, degrees): 4.424 4.424 4.424 90.00 90.00 90.00
Positions (direct):
Nb1 0.000 0.000 0.000
Cr1 0.500 0.500 0.500
Fe1 0.000 0.000 0.500
Fe2 0.000 0.500 0.000
Fe3 0.500 0.000 0.000

=====

12.
# Cu2NiAg

Cu2NiAg after structural relaxation (PBEsol, the Alexandria database).

Energy of formation from the pure elements in meV per atom: 127
Space-group type: R-3m (166)

Lattice parameters (Å, degrees): 8.544 8.544 8.544 17.63 17.63 17.63
Positions (direct):
Cu1 0.244 0.244 0.244
Cu2 0.756 0.756 0.756
Ni1 0.500 0.500 0.500
Ag1 0.000 0.000 0.000